An optimized crystal structure of ScTa2Os. Source: Alexandria via LeMat-Bulk, functional PBE-GGA.

```
4
Lattice="-2.142 -3.701 1.818 2.489 0.044 3.022 -2.424 2.367 1.963" Properties=species:S:1:pos:R:3 pbc="T T T"
Ta 0.000 0.000 0.000
Ta 0.033 1.205 2.492
Os 0.174 -1.829 2.420
Sc -2.283 -0.667 1.890
```

The total DFT energy (no corrections) is -10.2403 eV per atom. The energy of formation from the pure elements is 29 kJ/mol of formula units. The space group is P4/mmm. The volume comes out at 71.2 Å³/cell.